Here is a relaxed Li2LaCo crystal from Alexandria via LeMat-Bulk. Energies are from PBE.

Results
Space-group type: R-3m, No. 166
Crystal system: trigonal
ΔE_f: 0.517 eV per atom
Polymorph energy (0 for the lowest one): 0.387 eV per atom

The structure in POSCAR format:
```
Li2LaCo
1.0
10.248 -0.029 -0.017
9.807 2.974 -0.017
9.807 1.440 2.602
Co La Li
1 1 2
Direct
0.250 0.250 0.250
0.750 0.750 0.750
0.983 0.983 0.983
0.517 0.517 0.517
```